(1)
## MnVOs (PBE)

Data for crystalline MnVOs at its relaxed geometry.

Cell: 4.150 4.159 4.928 Å, 90.00 114.90 90.00°
Space group P2_1/m (No. 11)
Symmetry-distinct sites (fractional):
Mn: 0.059 0.250 0.114 (multiplicity 2)
V: 0.415 0.250 0.831 (multiplicity 2)
Os: 0.251 0.750 0.502 (multiplicity 2)

Computed properties:
N(E_F)   5.82 states/eV/cell
ΔE to the lowest computed polymorph   0.01 eV/f.u.
V   39 Å³/f.u.
Uncorrected energy   -9.91 eV/atom
Energy of formation   -0.07 eV/atom

(2)
## SmSn3Ir2 (PBE)

Data for crystalline SmSn3Ir2 at its relaxed geometry.

Cell: 17.660 4.359 10.791 Å, 90.00 106.47 90.00°
Space group C2/m (No. 12)
Symmetry-distinct sites (fractional):
Sm: 0.000 0.000 0.000 (multiplicity 2)
Sm: 0.153 0.000 0.700 (multiplicity 4)
Sn: 0.000 0.500 0.500 (multiplicity 2)
Sn: 0.043 0.000 0.346 (multiplicity 4)
Sn: 0.128 0.500 0.183 (multiplicity 4)
Sn: 0.163 0.500 0.936 (multiplicity 4)
Sn: 0.224 0.000 0.381 (multiplicity 4)
Ir: 0.018 0.500 0.779 (multiplicity 4)
Ir: 0.140 0.500 0.441 (multiplicity 4)
Ir: 0.199 0.000 0.118 (multiplicity 4)

Computed properties:
N(E_F)   18.68 states/eV/cell
V   133 Å³/f.u.
Uncorrected energy   -6.15 eV/atom
Energy of formation   -0.41 eV/atom

(3)
## Rb3AlPb (PBE)

Data for crystalline Rb3AlPb at its relaxed geometry.

Cell: 6.950 6.950 6.950 Å, 90.00 90.00 90.00°
Space group Pm-3m (No. 221)
Symmetry-distinct sites (fractional):
Rb: 0.000 0.000 0.500 (multiplicity 3)
Al: 0.000 0.000 0.000 (multiplicity 1)
Pb: 0.500 0.500 0.500 (multiplicity 1)

Computed properties:
N(E_F)   0.62 states/eV/cell
ΔE to the lowest computed polymorph   0.00 eV/f.u.
V   336 Å³/f.u.
Uncorrected energy   -1.54 eV/atom
Energy of formation   0.53 eV/atom

(4)
## YZrW2 (PBE)

Data for crystalline YZrW2 at its relaxed geometry.

Cell: 2.845 4.753 5.917 Å, 90.00 90.00 90.00°
Space group Pmm2 (No. 25)
Symmetry-distinct sites (fractional):
Y: 0.000 0.000 0.000 (multiplicity 1)
Zr: 0.500 0.500 0.265 (multiplicity 1)
W: 0.000 0.000 0.520 (multiplicity 1)
W: 0.500 0.500 0.729 (multiplicity 1)

Computed properties:
N(E_F)   4.98 states/eV/cell
ΔE to the lowest computed polymorph   1.55 eV/f.u.
V   80 Å³/f.u.
Uncorrected energy   -9.64 eV/atom
Energy of formation   0.59 eV/atom

(5)
## Ag2HgMoSe (PBE)

Data for crystalline Ag2HgMoSe at its relaxed geometry.

Cell: 5.369 5.369 4.711 Å, 90.00 90.00 90.00°
Space group P4/mmm (No. 123)
Symmetry-distinct sites (fractional):
Ag: 0.000 0.500 0.000 (multiplicity 2)
Hg: 0.000 0.000 0.500 (multiplicity 1)
Mo: 0.500 0.500 0.000 (multiplicity 1)
Se: 0.500 0.500 0.500 (multiplicity 1)

Computed properties:
N(E_F)   4.67 states/eV/cell
V   136 Å³/f.u.
ΔE_f (raw)   719 meV per atom
Uncorrected energy   -3.34 eV/atom